# Cs2RbAgBr6, optimized geometry, DFT PBE-GGA
data_Cs2RbAgBr6
_symmetry_space_group_name_H-M 'F m -3 m'
_symmetry_Int_Tables_number 225
_symmetry_space_group_name_Hall '-F 4 2 3'
_cell_length_a 11.7144
_cell_length_b 11.7144
_cell_length_c 11.7144
_cell_angle_alpha 90.00
_cell_angle_beta 90.00
_cell_angle_gamma 90.00
loop_
_atom_site_label
_atom_site_type_symbol
_atom_site_fract_x
_atom_site_fract_y
_atom_site_fract_z
_atom_site_occupancy
Cs1 Cs 0.2500 0.2500 0.2500 1
Rb1 Rb 0.0000 0.0000 0.0000 1
Ag1 Ag 0.0000 0.0000 0.5000 1
Br1 Br 0.0000 0.0000 0.2726 1
# Total DFT energy (no corrections) = -26.03 eV/f.u.
# Calculated density = 3.9 g/cm³

***

# Cs2AgS4Br, optimized geometry, DFT PBE-GGA
data_Cs2AgS4Br
_symmetry_space_group_name_H-M 'P -1'
_symmetry_Int_Tables_number 2
_cell_length_a 6.2557
_cell_length_b 7.0721
_cell_length_c 12.8256
_cell_angle_alpha 90.50
_cell_angle_beta 96.75
_cell_angle_gamma 110.17
loop_
_symmetry_equiv_pos_as_xyz
'x,y,z'
'-x,-y,-z'
loop_
_atom_site_label
_atom_site_type_symbol
_atom_site_fract_x
_atom_site_fract_y
_atom_site_fract_z
_atom_site_occupancy
Cs1 Cs 0.1910 0.0012 0.2647 1
Cs2 Cs 0.2496 0.6875 0.8981 1
Ag1 Ag 0.2991 0.6411 0.4441 1
S1 S 0.1404 0.1323 0.9979 1
S2 S 0.1743 0.0507 0.5441 1
S3 S 0.2013 0.7842 0.5956 1
S4 S 0.2843 0.5213 0.2694 1
Br1 Br 0.4339 0.2704 0.8312 1
# Total DFT energy (no corrections) = -26.91 eV/f.u.
# Calculated density = 3.7 g/cm³

***

# Cs2AgWBr6, optimized geometry, DFT PBE-GGA
data_Cs2AgWBr6
_symmetry_space_group_name_H-M 'F m -3 m'
_symmetry_Int_Tables_number 225
_symmetry_space_group_name_Hall '-F 4 2 3'
_cell_length_a 10.9838
_cell_length_b 10.9838
_cell_length_c 10.9838
_cell_angle_alpha 90.00
_cell_angle_beta 90.00
_cell_angle_gamma 90.00
loop_
_atom_site_label
_atom_site_type_symbol
_atom_site_fract_x
_atom_site_fract_y
_atom_site_fract_z
_atom_site_occupancy
Cs1 Cs 0.2500 0.2500 0.2500 1
Ag1 Ag 0.0000 0.0000 0.0000 1
W1 W 0.0000 0.0000 0.5000 1
Br1 Br 0.0000 0.0000 0.2613 1
# Total DFT energy (no corrections) = -36.39 eV/f.u.
# Calculated density = 5.2 g/cm³

***

# Cs2ZrAgBr6, optimized geometry, DFT PBE-GGA
data_Cs2ZrAgBr6
_symmetry_space_group_name_H-M 'F m -3 m'
_symmetry_Int_Tables_number 225
_symmetry_space_group_name_Hall '-F 4 2 3'
_cell_length_a 11.1689
_cell_length_b 11.1689
_cell_length_c 11.1689
_cell_angle_alpha 90.00
_cell_angle_beta 90.00
_cell_angle_gamma 90.00
loop_
_atom_site_label
_atom_site_type_symbol
_atom_site_fract_x
_atom_site_fract_y
_atom_site_fract_z
_atom_site_occupancy
Cs1 Cs 0.2500 0.2500 0.2500 1
Zr1 Zr 0.0000 0.0000 0.0000 1
Ag1 Ag 0.0000 0.0000 0.5000 1
Br1 Br 0.0000 0.0000 0.2438 1
# Total DFT energy (no corrections) = -36.14 eV/f.u.
# Calculated density = 4.5 g/cm³

***

# Cs2ZrAgBr6, optimized geometry, DFT PBE-GGA
data_Cs2ZrAgBr6
_symmetry_space_group_name_H-M 'C 1 2/m 1'
_symmetry_Int_Tables_number 12
_cell_length_a 13.6882
_cell_length_b 7.9057
_cell_length_c 7.9036
_cell_angle_alpha 90.00
_cell_angle_beta 125.25
_cell_angle_gamma 90.00
loop_
_symmetry_equiv_pos_as_xyz
'x,y,z'
'-x,-y,-z'
'-x,y,-z'
'x,-y,z'
'x+1/2,y+1/2,z'
'-x+1/2,-y+1/2,-z'
'-x+1/2,y+1/2,-z'
'x+1/2,-y+1/2,z'
loop_
_atom_site_label
_atom_site_type_symbol
_atom_site_fract_x
_atom_site_fract_y
_atom_site_fract_z
_atom_site_occupancy
Cs1 Cs 0.2502 0.0000 0.2500 1
Zr1 Zr 0.0000 0.0000 0.5000 1
Ag1 Ag 0.0000 0.5000 0.0000 1
Br1 Br 0.0006 0.2430 0.2574 1
Br2 Br 0.2431 0.0000 0.7441 1
# Total DFT energy (no corrections) = -36.14 eV/f.u.
# Calculated density = 4.5 g/cm³

***

# HfCuAg2Br6, optimized geometry, DFT PBE-GGA
data_HfCuAg2Br6
_symmetry_space_group_name_H-M 'F m -3 m'
_symmetry_Int_Tables_number 225
_symmetry_space_group_name_Hall '-F 4 2 3'
_cell_length_a 10.4627
_cell_length_b 10.4627
_cell_length_c 10.4627
_cell_angle_alpha 90.00
_cell_angle_beta 90.00
_cell_angle_gamma 90.00
loop_
_atom_site_label
_atom_site_type_symbol
_atom_site_fract_x
_atom_site_fract_y
_atom_site_fract_z
_atom_site_occupancy
Hf1 Hf 0.0000 0.0000 0.0000 1
Cu1 Cu 0.0000 0.0000 0.5000 1
Ag1 Ag 0.2500 0.2500 0.2500 1
Br1 Br 0.0000 0.0000 0.2495 1
# Total DFT energy (no corrections) = -33.60 eV/f.u.
# Calculated density = 5.4 g/cm³

***

# Tl2CuAgBr6, optimized geometry, DFT PBE-GGA
data_Tl2CuAgBr6
_symmetry_space_group_name_H-M 'C 1 2/m 1'
_symmetry_Int_Tables_number 12
_cell_length_a 12.9117
_cell_length_b 7.3050
_cell_length_c 7.5512
_cell_angle_alpha 90.00
_cell_angle_beta 121.68
_cell_angle_gamma 90.00
loop_
_symmetry_equiv_pos_as_xyz
'x,y,z'
'-x,-y,-z'
'-x,y,-z'
'x,-y,z'
'x+1/2,y+1/2,z'
'-x+1/2,-y+1/2,-z'
'-x+1/2,y+1/2,-z'
'x+1/2,-y+1/2,z'
loop_
_atom_site_label
_atom_site_type_symbol
_atom_site_fract_x
_atom_site_fract_y
_atom_site_fract_z
_atom_site_occupancy
Tl1 Tl 0.2407 0.0000 0.2335 1
Cu1 Cu 0.0000 0.5000 0.0000 1
Ag1 Ag 0.0000 0.0000 0.5000 1
Br1 Br 0.0312 0.2657 0.8055 1
Br2 Br 0.2310 0.0000 0.6726 1
# Total DFT energy (no corrections) = -26.26 eV/f.u.
# Calculated density = 5.8 g/cm³

***

# Rb2AgBrF3, optimized geometry, DFT PBE-GGA
data_Rb2AgBrF3
_symmetry_space_group_name_H-M 'A m m 2'
_symmetry_Int_Tables_number 38
_cell_length_a 3.7411
_cell_length_b 10.2546
_cell_length_c 7.8076
_cell_angle_alpha 90.00
_cell_angle_beta 90.00
_cell_angle_gamma 90.00
loop_
_symmetry_equiv_pos_as_xyz
'x,y,z'
'-x,-y,z'
'-x,y,z'
'x,-y,z'
'x,y+1/2,z+1/2'
'-x,-y+1/2,z+1/2'
'-x,y+1/2,z+1/2'
'x,-y+1/2,z+1/2'
loop_
_atom_site_label
_atom_site_type_symbol
_atom_site_fract_x
_atom_site_fract_y
_atom_site_fract_z
_atom_site_occupancy
Rb1 Rb 0.0000 0.2053 0.0000 1
Ag1 Ag 0.5000 0.0000 0.7016 1
Br1 Br 0.5000 0.0000 0.3805 1
F1 F 0.5000 0.0000 0.9776 1
F2 F 0.5000 0.2041 0.7244 1
# Total DFT energy (no corrections) = -24.63 eV/f.u.
# Calculated density = 4.6 g/cm³

***

# FeAgBr4, optimized geometry, DFT PBE-GGA
data_FeAgBr4
_symmetry_space_group_name_H-M 'P 2 2 2'
_symmetry_Int_Tables_number 16
_cell_length_a 6.2758
_cell_length_b 6.2779
_cell_length_c 11.6654
_cell_angle_alpha 90.00
_cell_angle_beta 90.00
_cell_angle_gamma 90.00
loop_
_symmetry_equiv_pos_as_xyz
'x,y,z'
'-x,-y,z'
'x,-y,-z'
'-x,y,-z'
loop_
_atom_site_label
_atom_site_type_symbol
_atom_site_fract_x
_atom_site_fract_y
_atom_site_fract_z
_atom_site_occupancy
Fe1 Fe 0.0000 0.0000 0.0000 1
Fe2 Fe 0.0000 0.5000 0.5000 1
Ag1 Ag 0.0000 0.0000 0.5000 1
Ag2 Ag 0.5000 0.0000 0.0000 1
Br1 Br 0.2095 0.2228 0.1198 1
Br2 Br 0.2246 0.2911 0.6191 1
# Total DFT energy (no corrections) = -20.52 eV/f.u.
# Calculated density = 3.5 g/cm³

***

# Fe2AgI6Br2, optimized geometry, DFT PBE-GGA
data_Fe2AgI6Br2
_symmetry_space_group_name_H-M 'C 1 2/m 1'
_symmetry_Int_Tables_number 12
_cell_length_a 13.4679
_cell_length_b 9.5318
_cell_length_c 7.4235
_cell_angle_alpha 90.00
_cell_angle_beta 95.21
_cell_angle_gamma 90.00
loop_
_symmetry_equiv_pos_as_xyz
'x,y,z'
'-x,-y,-z'
'-x,y,-z'
'x,-y,z'
'x+1/2,y+1/2,z'
'-x+1/2,-y+1/2,-z'
'-x+1/2,y+1/2,-z'
'x+1/2,-y+1/2,z'
loop_
_atom_site_label
_atom_site_type_symbol
_atom_site_fract_x
_atom_site_fract_y
_atom_site_fract_z
_atom_site_occupancy
Fe1 Fe 0.2059 0.0000 0.3363 1
Ag1 Ag 0.0000 0.0000 0.0000 1
I1 I 0.1174 0.2153 0.1809 1
I2 I 0.1828 0.0000 0.6709 1
Br1 Br 0.1267 0.5000 0.7045 1
# Total DFT energy (no corrections) = -34.34 eV/f.u.
# Calculated density = 4.0 g/cm³

***

# Tl2FeAgBr6, optimized geometry, DFT PBE-GGA
data_Tl2FeAgBr6
_symmetry_space_group_name_H-M 'F m -3 m'
_symmetry_Int_Tables_number 225
_symmetry_space_group_name_Hall '-F 4 2 3'
_cell_length_a 10.6622
_cell_length_b 10.6622
_cell_length_c 10.6622
_cell_angle_alpha 90.00
_cell_angle_beta 90.00
_cell_angle_gamma 90.00
loop_
_atom_site_label
_atom_site_type_symbol
_atom_site_fract_x
_atom_site_fract_y
_atom_site_fract_z
_atom_site_occupancy
Tl1 Tl 0.2500 0.2500 0.2500 1
Fe1 Fe 0.0000 0.0000 0.0000 1
Ag1 Ag 0.0000 0.0000 0.5000 1
Br1 Br 0.0000 0.0000 0.2397 1
# Total DFT energy (no corrections) = -31.36 eV/f.u.
# Calculated density = 5.8 g/cm³

***

# GaAgBr4, optimized geometry, DFT PBE-GGA
data_GaAgBr4
_symmetry_space_group_name_H-M 'C 1 2/c 1'
_symmetry_Int_Tables_number 15
_cell_length_a 10.1963
_cell_length_b 9.1934
_cell_length_c 9.2047
_cell_angle_alpha 90.00
_cell_angle_beta 92.18
_cell_angle_gamma 90.00
loop_
_symmetry_equiv_pos_as_xyz
'x,y,z'
'-x,-y,-z'
'-x,y,-z+1/2'
'x,-y,z+1/2'
'x+1/2,y+1/2,z'
'-x+1/2,-y+1/2,-z'
'-x+1/2,y+1/2,-z+1/2'
'x+1/2,-y+1/2,z+1/2'
loop_
_atom_site_label
_atom_site_type_symbol
_atom_site_fract_x
_atom_site_fract_y
_atom_site_fract_z
_atom_site_occupancy
Ga1 Ga 0.0000 0.1355 0.2500 1
Ag1 Ag 0.2500 0.2500 0.0000 1
Br1 Br 0.0011 0.2897 0.4607 1
Br2 Br 0.1972 0.0034 0.2484 1
# Total DFT energy (no corrections) = -16.59 eV/f.u.
# Calculated density = 3.8 g/cm³

***

# GaAgI2Br2, optimized geometry, DFT PBE-GGA
data_GaAgI2Br2
_symmetry_space_group_name_H-M 'P 1'
_symmetry_Int_Tables_number 1
_cell_length_a 6.3563
_cell_length_b 6.3576
_cell_length_c 7.1960
_cell_angle_alpha 114.28
_cell_angle_beta 114.76
_cell_angle_gamma 90.37
loop_
_symmetry_equiv_pos_as_xyz
'x,y,z'
loop_
_atom_site_label
_atom_site_type_symbol
_atom_site_fract_x
_atom_site_fract_y
_atom_site_fract_z
_atom_site_occupancy
Ga1 Ga 0.0000 0.0000 0.0000 1
Ag1 Ag 0.2404 0.7481 0.4997 1
I1 I 0.6552 0.6308 0.7577 1
I2 I 0.8656 0.3443 0.2432 1
Br1 Br 0.1028 0.1160 0.7669 1
Br2 Br 0.3418 0.9034 0.2334 1
# Total DFT energy (no corrections) = -15.68 eV/f.u.
# Calculated density = 4.2 g/cm³

***

# GaAgI3Br, optimized geometry, DFT PBE-GGA
data_GaAgI3Br
_symmetry_space_group_name_H-M 'P 1'
_symmetry_Int_Tables_number 1
_cell_length_a 6.4296
_cell_length_b 6.4820
_cell_length_c 7.3856
_cell_angle_alpha 64.14
_cell_angle_beta 65.43
_cell_angle_gamma 89.88
loop_
_symmetry_equiv_pos_as_xyz
'x,y,z'
loop_
_atom_site_label
_atom_site_type_symbol
_atom_site_fract_x
_atom_site_fract_y
_atom_site_fract_z
_atom_site_occupancy
Ga1 Ga 0.0000 0.0000 0.0000 1
Ag1 Ag 0.2466 0.7453 0.4974 1
I1 I 0.3673 0.8992 0.7550 1
I2 I 0.6572 0.6331 0.2408 1
I3 I 0.8678 0.3476 0.7577 1
Br1 Br 0.0991 0.1070 0.2313 1
# Total DFT energy (no corrections) = -15.18 eV/f.u.
# Calculated density = 4.3 g/cm³

***

# Ga2AgI6Br2, optimized geometry, DFT PBE-GGA
data_Ga2AgI6Br2
_symmetry_space_group_name_H-M 'C 1 2/m 1'
_symmetry_Int_Tables_number 12
_cell_length_a 13.7161
_cell_length_b 9.1201
_cell_length_c 7.9371
_cell_angle_alpha 90.00
_cell_angle_beta 94.13
_cell_angle_gamma 90.00
loop_
_symmetry_equiv_pos_as_xyz
'x,y,z'
'-x,-y,-z'
'-x,y,-z'
'x,-y,z'
'x+1/2,y+1/2,z'
'-x+1/2,-y+1/2,-z'
'-x+1/2,y+1/2,-z'
'x+1/2,-y+1/2,z'
loop_
_atom_site_label
_atom_site_type_symbol
_atom_site_fract_x
_atom_site_fract_y
_atom_site_fract_z
_atom_site_occupancy
Ga1 Ga 0.2147 0.0000 0.3275 1
Ag1 Ag 0.0000 0.0000 0.0000 1
I1 I 0.1232 0.2153 0.1578 1
I2 I 0.1729 0.0000 0.6359 1
Br1 Br 0.1183 0.5000 0.7028 1
# Total DFT energy (no corrections) = -26.48 eV/f.u.
# Calculated density = 3.9 g/cm³

***

# K2GaAgBr6, optimized geometry, DFT PBE-GGA
data_K2GaAgBr6
_symmetry_space_group_name_H-M 'F m -3 m'
_symmetry_Int_Tables_number 225
_symmetry_space_group_name_Hall '-F 4 2 3'
_cell_length_a 10.7936
_cell_length_b 10.7936
_cell_length_c 10.7936
_cell_angle_alpha 90.00
_cell_angle_beta 90.00
_cell_angle_gamma 90.00
loop_
_atom_site_label
_atom_site_type_symbol
_atom_site_fract_x
_atom_site_fract_y
_atom_site_fract_z
_atom_site_occupancy
K1 K 0.2500 0.2500 0.2500 1
Ga1 Ga 0.0000 0.0000 0.0000 1
Ag1 Ag 0.0000 0.0000 0.5000 1
Br1 Br 0.0000 0.0000 0.2392 1
# Total DFT energy (no corrections) = -28.36 eV/f.u.
# Calculated density = 3.9 g/cm³

***

# Rb2GaAgBr6, optimized geometry, DFT PBE-GGA
data_Rb2GaAgBr6
_symmetry_space_group_name_H-M 'R -3'
_symmetry_Int_Tables_number 148
_symmetry_space_group_name_Hall '-R 3'
_cell_length_a 7.6740
_cell_length_b 7.6740
_cell_length_c 18.8846
_cell_angle_alpha 90.00
_cell_angle_beta 90.00
_cell_angle_gamma 120.00
loop_
_atom_site_label
_atom_site_type_symbol
_atom_site_fract_x
_atom_site_fract_y
_atom_site_fract_z
_atom_site_occupancy
Rb1 Rb 0.0000 0.0000 0.2502 1
Ga1 Ga 0.0000 0.0000 0.0000 1
Ag1 Ag 0.0000 0.0000 0.5000 1
Br1 Br 0.0139 0.4848 0.7455 1
# Total DFT energy (no corrections) = -28.43 eV/f.u.
# Calculated density = 4.3 g/cm³

***

# AgHg2GeBr6, optimized geometry, DFT PBE-GGA
data_AgHg2GeBr6
_symmetry_space_group_name_H-M 'F m -3 m'
_symmetry_Int_Tables_number 225
_symmetry_space_group_name_Hall '-F 4 2 3'
_cell_length_a 10.6406
_cell_length_b 10.6406
_cell_length_c 10.6406
_cell_angle_alpha 90.00
_cell_angle_beta 90.00
_cell_angle_gamma 90.00
loop_
_atom_site_label
_atom_site_type_symbol
_atom_site_fract_x
_atom_site_fract_y
_atom_site_fract_z
_atom_site_occupancy
Ag1 Ag 0.0000 0.0000 0.0000 1
Hg1 Hg 0.2500 0.2500 0.2500 1
Ge1 Ge 0.0000 0.0000 0.5000 1
Br1 Br 0.0000 0.0000 0.2572 1
# Total DFT energy (no corrections) = -19.92 eV/f.u.
# Calculated density = 5.9 g/cm³

***

# K2AgGeBr6, optimized geometry, DFT PBE-GGA
data_K2AgGeBr6
_symmetry_space_group_name_H-M 'P 1 21/c 1'
_symmetry_Int_Tables_number 14
_cell_length_a 7.5425
_cell_length_b 7.6927
_cell_length_c 13.1541
_cell_angle_alpha 90.00
_cell_angle_beta 124.93
_cell_angle_gamma 90.00
loop_
_symmetry_equiv_pos_as_xyz
'x,y,z'
'-x,-y,-z'
'-x,y+1/2,-z+1/2'
'x,-y+1/2,z+1/2'
loop_
_atom_site_label
_atom_site_type_symbol
_atom_site_fract_x
_atom_site_fract_y
_atom_site_fract_z
_atom_site_occupancy
K1 K 0.2361 0.0571 0.2495 1
Ag1 Ag 0.0000 0.0000 0.5000 1
Ge1 Ge 0.5000 0.0000 0.0000 1
Br1 Br 0.1765 0.2014 0.9639 1
Br2 Br 0.2680 0.7121 0.9669 1
Br3 Br 0.3239 0.0074 0.7557 1
# Total DFT energy (no corrections) = -29.40 eV/f.u.
# Calculated density = 3.9 g/cm³

***

# K2AgGeBr6, optimized geometry, DFT PBE-GGA
data_K2AgGeBr6
_symmetry_space_group_name_H-M 'I 4/m'
_symmetry_Int_Tables_number 87
_symmetry_space_group_name_Hall '-I 4'
_cell_length_a 7.5399
_cell_length_b 7.5399
_cell_length_c 11.0799
_cell_angle_alpha 90.00
_cell_angle_beta 90.00
_cell_angle_gamma 90.00
loop_
_atom_site_label
_atom_site_type_symbol
_atom_site_fract_x
_atom_site_fract_y
_atom_site_fract_z
_atom_site_occupancy
K1 K 0.0000 0.5000 0.2500 1
Ag1 Ag 0.0000 0.0000 0.0000 1
Ge1 Ge 0.0000 0.0000 0.5000 1
Br1 Br 0.0000 0.0000 0.2579 1
Br2 Br 0.1891 0.6982 0.5000 1
# Total DFT energy (no corrections) = -29.34 eV/f.u.
# Calculated density = 3.9 g/cm³

***

# K2AgGeBr6, optimized geometry, DFT PBE-GGA
data_K2AgGeBr6
_symmetry_space_group_name_H-M 'P 1 21/c 1'
_symmetry_Int_Tables_number 14
_cell_length_a 7.5091
_cell_length_b 7.7443
_cell_length_c 13.1221
_cell_angle_alpha 90.00
_cell_angle_beta 124.78
_cell_angle_gamma 90.00
loop_
_symmetry_equiv_pos_as_xyz
'x,y,z'
'-x,-y,-z'
'-x,y+1/2,-z+1/2'
'x,-y+1/2,z+1/2'
loop_
_atom_site_label
_atom_site_type_symbol
_atom_site_fract_x
_atom_site_fract_y
_atom_site_fract_z
_atom_site_occupancy
K1 K 0.2296 0.0662 0.2495 1
Ag1 Ag 0.0000 0.0000 0.5000 1
Ge1 Ge 0.5000 0.0000 0.0000 1
Br1 Br 0.1745 0.2001 0.9633 1
Br2 Br 0.2680 0.7124 0.9669 1
Br3 Br 0.3253 0.0054 0.7556 1
# Total DFT energy (no corrections) = -29.40 eV/f.u.
# Calculated density = 3.9 g/cm³